Entry 1:
CaYAs2 | Alexandria | PBE-GGA | optimized geometry; final energy = -5.43 eV/atom; formation enthalpy at 0 K = -989 meV per atom; theoretical density = 4.801 g/cm3; space group = Immm; offset from the most stable computed form = 0.85 eV per formula unit
1.0
-4.9368 1.7251 0.1741
-0.4239 -0.9937 5.1196
3.3504 3.1797 -2.4582
As Ca Y
2 1 1
Direct
0.0007 0.0007 0.0000 As
0.4993 0.4993 0.0000 As
0.7500 0.2500 0.5000 Ca
0.2500 0.7500 0.5000 Y

Entry 2:
CaYAs2 | Alexandria | PBE-GGA | optimized geometry; final energy = -5.46 eV/atom; formation enthalpy at 0 K = -1023 meV per atom; theoretical density = 4.776 g/cm3; space group = Cmmm; offset from the most stable computed form = 0.71 eV per formula unit
1.0
-3.2866 0.3658 -1.4245
-0.1837 -3.2179 1.6051
-2.4228 3.3567 6.4522
As Y Ca
2 1 1
Direct
0.0000 0.0000 0.9897 As
0.0000 0.0000 0.5103 As
0.5000 0.5000 0.7500 Y
0.5000 0.5000 0.2500 Ca

Entry 3:
CaYAs2 | Alexandria | PBE-GGA | optimized geometry; final energy = -5.45 eV/atom; formation enthalpy at 0 K = -1011 meV per atom; theoretical density = 4.758 g/cm3; space group = P2/m; offset from the most stable computed form = 0.76 eV per formula unit
1.0
-0.4329 0.2085 3.7401
-3.0533 -1.9362 -0.2455
2.0257 -7.0982 0.6301
Ca Y As
1 1 2
Direct
0.5000 0.2500 0.2500 Ca
0.5000 0.7500 0.7500 Y
0.0000 0.4981 0.5108 As
0.0000 0.0019 0.9892 As

Entry 4:
CaYAs2 | Alexandria | PBE-GGA | optimized geometry; final energy = -5.40 eV/atom; formation enthalpy at 0 K = -959 meV per atom; theoretical density = 4.422 g/cm3; space group = I-42d; offset from the most stable computed form = 0.97 eV per formula unit
1.0
7.6621 0.0000 0.0000
0.0000 7.6621 0.0000
3.8311 3.8311 3.5670
As Y Ca
4 2 2
Direct
0.6307 0.1250 0.2500 As
0.1193 0.6250 0.2500 As
0.3750 0.3693 0.7500 As
0.8750 0.8807 0.7500 As
0.0000 0.0000 0.0000 Y
0.7500 0.2500 0.5000 Y
0.5000 0.5000 0.0000 Ca
0.2500 0.7500 0.5000 Ca

Entry 5:
CaYAs | Alexandria | PBE-GGA | optimized geometry; final energy = -5.22 eV/atom; formation enthalpy at 0 K = -847 meV per atom; theoretical density = 3.478 g/cm3; space group = P3m1
1.0
4.1045 0.0000 0.0000
-2.0523 3.5546 0.0000
0.0000 0.0000 6.6729
As Y Ca
1 1 1
Direct
0.0000 0.0000 0.9862 As
0.3333 0.6667 0.7585 Y
0.6667 0.3333 0.2553 Ca

Entry 6:
Ca2YAs | Alexandria | PBE-GGA | optimized geometry; final energy = -4.15 eV/atom; formation enthalpy at 0 K = -372 meV per atom; theoretical density = 2.826 g/cm3; space group = R-3m
1.0
10.0562 0.0001 0.0001
9.2138 4.0292 0.0001
9.2138 1.9265 3.5387
Ca As Y
2 1 1
Direct
0.0299 0.0299 0.0299 Ca
0.4701 0.4701 0.4701 Ca
0.7500 0.7500 0.7500 As
0.2500 0.2500 0.2500 Y

Entry 7:
CaYAs | Alexandria | PBE-GGA | optimized geometry; final energy = -5.29 eV/atom; formation enthalpy at 0 K = -913 meV per atom; theoretical density = 3.987 g/cm3; space group = Cm
1.0
-3.2681 -5.7482 -0.9030
2.6904 -1.9063 2.3983
-6.9456 2.7789 10.0003
Y Ca As
4 4 4
Direct
0.4430 0.0000 0.6306 Y
0.9430 0.0000 0.6295 Y
0.4430 0.5000 0.1306 Y
0.9430 0.5000 0.1295 Y
0.1965 0.0000 0.9154 Ca
0.6979 0.5000 0.8445 Ca
0.6979 0.0000 0.3445 Ca
0.1965 0.5000 0.4154 Ca
0.6851 0.5000 0.5258 As
0.1980 0.5000 0.7341 As
0.1980 0.0000 0.2341 As
0.6851 0.0000 0.0258 As

Entry 8:
Ca2YAs | Alexandria | PBE-GGA | optimized geometry; final energy = -4.40 eV/atom; formation enthalpy at 0 K = -619 meV per atom; theoretical density = 3.022 g/cm3; space group = Amm2
1.0
-3.1356 0.1412 -2.3220
1.6520 -2.9497 -2.4102
-2.8434 -7.2833 3.3969
Ca Y As
2 1 1
Direct
0.5000 0.1687 0.2871 Ca
0.0000 0.8336 0.9576 Ca
0.0000 0.5109 0.6035 Y
0.5000 0.9868 0.6518 As

Entry 9:
CaYAs2 | Alexandria | PBE-GGA | optimized geometry; final energy = -5.64 eV/atom; formation enthalpy at 0 K = -1202 meV per atom; theoretical density = 4.457 g/cm3; space group = C2/m; offset from the most stable computed form = 0.00 eV per formula unit
1.0
-0.6568 -1.9340 -3.5902
1.0171 -3.9826 -0.4067
-6.2913 -3.8392 0.8374
Ca As Y
1 2 1
Direct
0.7500 0.7500 0.7500 Ca
0.5041 0.5041 0.4877 As
0.9959 0.9959 0.0123 As
0.2500 0.2500 0.2500 Y

Entry 10:
CaYAs2 | Alexandria | PBE-GGA | optimized geometry; final energy = -5.58 eV/atom; formation enthalpy at 0 K = -1140 meV per atom; theoretical density = 4.371 g/cm3; space group = R3m; offset from the most stable computed form = 0.25 eV per formula unit
1.0
4.1460 0.0000 0.0000
2.0730 3.5906 0.0000
2.0730 1.1969 7.1154
As Ca Y
2 1 1
Direct
0.2557 0.2557 0.2329 As
0.0784 0.0784 0.7649 As
0.4964 0.4964 0.5107 Ca
0.6695 0.6695 0.9915 Y

Entry 11:
CaYAs2 | Alexandria | PBE-GGA | optimized geometry; final energy = -5.42 eV/atom; formation enthalpy at 0 K = -982 meV per atom; theoretical density = 4.911 g/cm3; space group = I-4m2; offset from the most stable computed form = 0.88 eV per formula unit
1.0
6.2131 -0.0071 -0.0027
3.4472 5.1681 0.0036
-4.8284 -2.5832 2.9335
Ca Y As
1 1 2
Direct
0.4999 0.4999 0.0000 Ca
0.2499 0.7499 0.5001 Y
0.7500 0.2500 0.5000 As
0.0002 0.0002 0.0000 As

Entry 12:
Ca2YAs | Alexandria | PBE-GGA | optimized geometry; final energy = -4.33 eV/atom; formation enthalpy at 0 K = -553 meV per atom; theoretical density = 3.058 g/cm3; space group = Immm
1.0
-6.4268 2.9390 -4.8337
-3.7531 -1.3549 -7.5752
3.1549 -2.4123 7.5850
As Ca Y
1 2 1
Direct
0.2500 0.7500 0.5000 As
0.0796 0.0796 0.0000 Ca
0.4204 0.4204 0.0000 Ca
0.7500 0.2500 0.5000 Y